Compound: ScReAs2
Source: Alexandria
Functional: PBE
Structure: optimized geometry

Results
Volume: 24.51 Å³ per atom
Uncorrected energy: -6.965 eV/atom
SG: I-42d
DOS(E_F): 2.93 states/eV/f.u.
Spin magnetization: 0.00 μB/f.u.
Polymorph energy (0 for the lowest one): 0.512 eV per atom
Energy relative to the elements: 0.06 eV per atom

extended XYZ file:
```
8
Lattice="5.5810 0.0000 0.0000 0.0000 5.5810 0.0000 2.7905 2.7905 6.2964" Properties=species:S:1:pos:R:3 pbc="T T T"
As 4.4398 1.3953 1.5741
Re 0.0000 0.0000 0.0000
As 4.1858 3.9318 4.7223
Re 5.5810 2.7905 3.1482
Sc 2.7905 5.5810 3.1482
Sc 2.7905 2.7905 0.0000
As 6.9763 7.2303 4.7223
As 1.1412 4.1858 1.5741
```

Compound: TiVHg2
Source: Alexandria
Functional: PBE
Structure: optimized geometry

Results
Volume: 18.72 Å³ per atom
Uncorrected energy: -4.164 eV/atom
SG: Fm-3m
DOS(E_F): 4.02 states/eV/f.u.
Spin magnetization: 3.51 μB/f.u.
Polymorph energy (0 for the lowest one): 0.000 eV per atom
Energy relative to the elements: 0.24 eV per atom

extended XYZ file:
```
4
Lattice="2.8301 -3.7603 0.4797 -0.0287 -2.4838 4.0261 -1.8460 -4.3549 0.0795" Properties=species:S:1:pos:R:3 pbc="T T T"
Ti 0.0000 0.0000 0.0000
Hg 0.7166 -7.9492 3.4390
Hg 0.2389 -2.6497 1.1463
V 0.4777 -5.2995 2.2926
```

The lowest DOS(E_F) belongs to which entry?
ScReAs2

What is the spin magnetization in the second record?
3.51 μB/f.u.

Please write out number 1 again, unchanged.
Compound: ScReAs2
Source: Alexandria
Functional: PBE
Structure: optimized geometry

Results
Volume: 24.51 Å³ per atom
Uncorrected energy: -6.965 eV/atom
SG: I-42d
DOS(E_F): 2.93 states/eV/f.u.
Spin magnetization: 0.00 μB/f.u.
Polymorph energy (0 for the lowest one): 0.512 eV per atom
Energy relative to the elements: 0.06 eV per atom

extended XYZ file:
```
8
Lattice="5.5810 0.0000 0.0000 0.0000 5.5810 0.0000 2.7905 2.7905 6.2964" Properties=species:S:1:pos:R:3 pbc="T T T"
As 4.4398 1.3953 1.5741
Re 0.0000 0.0000 0.0000
As 4.1858 3.9318 4.7223
Re 5.5810 2.7905 3.1482
Sc 2.7905 5.5810 3.1482
Sc 2.7905 2.7905 0.0000
As 6.9763 7.2303 4.7223
As 1.1412 4.1858 1.5741
```